(1)
{
  "formula": "Cr2RhBr",
  "functional": "PBE",
  "state": "relaxed",
  "relative_energy_ev_per_atom": 0.146,
  "spacegroup": "C2/m (12)",
  "e_tot_ev_per_cell": -26.36,
  "e_form_raw_kj_per_mol_fu": 184,
  "cell": [[4.629, 0.001, 0.302], [3.704, 2.777, 0.302], [3.468, 1.156, 6.165]],
  "species": ["Rh", "Cr", "Cr", "Br"],
  "fractional_positions": [[0.750, 0.750, 0.750], [0.526, 0.526, 0.620], [0.974, 0.974, 0.880], [0.250, 0.250, 0.250]]
}

=====

(2)
{
  "formula": "RbAg2Ge",
  "functional": "PBE",
  "state": "relaxed",
  "spacegroup": "I4_1/amd (141)",
  "e_tot_ev_per_cell": -21.46,
  "formation_enthalpy_0k_ev_per_atom": 0.14,
  "cell": [[5.645, 0.000, 0.000], [0.000, 5.645, 0.000], [2.822, 2.822, 8.460]],
  "species": ["Ag", "Ag", "Ag", "Ag", "Ge", "Ge", "Rb", "Rb"],
  "fractional_positions": [[0.875, 0.625, 0.750], [0.375, 0.625, 0.750], [0.375, 0.625, 0.250], [0.375, 0.125, 0.250], [0.250, 0.750, 0.500], [0.500, 0.500, 0.000], [0.000, 0.000, 0.000], [0.750, 0.250, 0.500]]
}

=====

Number 1: Fermi-level density of states 0.5951 states/eV/atom. Number 2: Fermi-level density of states 0.8923 states/eV/atom.